Arrangement w

# PBE Ac2AgSn3, optimized geometry
# - N(E_F): 0.421 states/eV per atom
# - Spin magnetization: 0.000 Bohr magnetons per cell
data_Ac2AgSn3
_chemical_formula_sum 'Ac16 Ag8 Sn24'
_cell_length_a 9.1498
_cell_length_b 9.6979
_cell_length_c 16.6952
_cell_angle_alpha 90.00
_cell_angle_beta 90.00
_cell_angle_gamma 90.00
_symmetry_space_group_name_H-M 'F m m m'
_symmetry_Int_Tables_number 69
_symmetry_space_group_name_Hall '-F 2 2'
loop_
_atom_site_label
_atom_site_type_symbol
_atom_site_fract_x
_atom_site_fract_y
_atom_site_fract_z
Ac1 Ac 0.2420 0.0000 0.0000
Ac2 Ac 0.2500 0.2500 0.2500
Ag1 Ag 0.0000 0.0000 0.3326
Sn1 Sn 0.0000 0.0000 0.1700
Sn2 Sn 0.0000 0.2394 0.4145

***

Arrangement x

# PBE Ac2AgSn3, optimized geometry
# - N(E_F): 0.631 states/eV per atom
# - Spin magnetization: 0.000 Bohr magnetons per cell
data_Ac2AgSn3
_chemical_formula_sum 'Ac2 Ag1 Sn3'
_cell_length_a 4.5632
_cell_length_b 4.9342
_cell_length_c 8.2601
_cell_angle_alpha 90.00
_cell_angle_beta 90.00
_cell_angle_gamma 90.00
_symmetry_space_group_name_H-M 'P m m 2'
_symmetry_Int_Tables_number 25
loop_
_symmetry_equiv_pos_as_xyz
'x,y,z'
'-x,-y,z'
'-x,y,z'
'x,-y,z'
loop_
_atom_site_label
_atom_site_type_symbol
_atom_site_fract_x
_atom_site_fract_y
_atom_site_fract_z
Ac1 Ac 0.0000 0.0000 0.0000
Ac2 Ac 0.0000 0.5000 0.4927
Ag1 Ag 0.5000 0.5000 0.8198
Sn1 Sn 0.5000 0.0000 0.3320
Sn2 Sn 0.5000 0.0000 0.6783
Sn3 Sn 0.5000 0.5000 0.1504

***

Energies relative to the most stable structure are arrangement w 0.0; arrangement x 1.7, reported in kJ/mol of atoms.

***

Arrangement w

# PBE SrAcAg2, optimized geometry
# - N(E_F): 0.766 states/eV per atom
# - Spin magnetization: 0.000 Bohr magnetons per cell
data_SrAcAg2
_chemical_formula_sum 'Sr4 Ac4 Ag8'
_cell_length_a 7.8745
_cell_length_b 7.8745
_cell_length_c 7.8745
_cell_angle_alpha 90.00
_cell_angle_beta 90.00
_cell_angle_gamma 90.00
_symmetry_space_group_name_H-M 'F m -3 m'
_symmetry_Int_Tables_number 225
_symmetry_space_group_name_Hall '-F 4 2 3'
loop_
_atom_site_label
_atom_site_type_symbol
_atom_site_fract_x
_atom_site_fract_y
_atom_site_fract_z
Sr1 Sr 0.0000 0.0000 0.0000
Ac1 Ac 0.0000 0.0000 0.5000
Ag1 Ag 0.2500 0.2500 0.2500

***

Arrangement x

# PBE SrAcAg2, optimized geometry
# - N(E_F): 0.704 states/eV per atom
# - Spin magnetization: 0.000 Bohr magnetons per cell
data_SrAcAg2
_chemical_formula_sum 'Sr2 Ac2 Ag4'
_cell_length_a 5.0123
_cell_length_b 4.2855
_cell_length_c 11.9420
_cell_angle_alpha 90.00
_cell_angle_beta 90.00
_cell_angle_gamma 90.00
_symmetry_space_group_name_H-M 'A m m 2'
_symmetry_Int_Tables_number 38
loop_
_symmetry_equiv_pos_as_xyz
'x,y,z'
'-x,-y,z'
'-x,y,z'
'x,-y,z'
'x,y+1/2,z+1/2'
'-x,-y+1/2,z+1/2'
'-x,y+1/2,z+1/2'
'x,-y+1/2,z+1/2'
loop_
_atom_site_label
_atom_site_type_symbol
_atom_site_fract_x
_atom_site_fract_y
_atom_site_fract_z
Sr1 Sr 0.0000 0.0000 0.0000
Ac1 Ac 0.5000 0.0000 0.7231
Ag1 Ag 0.0000 0.0000 0.2844
Ag2 Ag 0.5000 0.0000 0.4352

***

Energies relative to the most stable structure are arrangement w 1.4; arrangement x 0.0, reported in kJ/mol of atoms.

***

Arrangement w

# PBE SrAcAg2, optimized geometry
# - N(E_F): 0.877 states/eV per atom
# - Spin magnetization: 0.000 Bohr magnetons per cell
data_SrAcAg2
_chemical_formula_sum 'Sr1 Ac1 Ag2'
_cell_length_a 3.9440
_cell_length_b 3.9440
_cell_length_c 7.9592
_cell_angle_alpha 90.00
_cell_angle_beta 90.00
_cell_angle_gamma 90.00
_symmetry_space_group_name_H-M 'P 4/m m m'
_symmetry_Int_Tables_number 123
_symmetry_space_group_name_Hall '-P 4 2'
loop_
_atom_site_label
_atom_site_type_symbol
_atom_site_fract_x
_atom_site_fract_y
_atom_site_fract_z
Sr1 Sr 0.0000 0.0000 0.0000
Ac1 Ac 0.0000 0.0000 0.5000
Ag1 Ag 0.5000 0.5000 0.2612

***

Arrangement x

# PBE SrAcAg2, optimized geometry
# - N(E_F): 0.697 states/eV per atom
# - Spin magnetization: 0.000 Bohr magnetons per cell
data_SrAcAg2
_chemical_formula_sum 'Sr3 Ac3 Ag6'
_cell_length_a 4.4535
_cell_length_b 4.4535
_cell_length_c 24.4754
_cell_angle_alpha 90.00
_cell_angle_beta 90.00
_cell_angle_gamma 120.00
_symmetry_space_group_name_H-M 'R 3 m'
_symmetry_Int_Tables_number 160
_symmetry_space_group_name_Hall 'R 3 -2"'
loop_
_atom_site_label
_atom_site_type_symbol
_atom_site_fract_x
_atom_site_fract_y
_atom_site_fract_z
Sr1 Sr 0.0000 0.0000 0.0000
Ac1 Ac 0.0000 0.0000 0.8287
Ag1 Ag 0.0000 0.0000 0.2463
Ag2 Ag 0.0000 0.0000 0.4150

***

Energies relative to the most stable structure are arrangement w 0.0; arrangement x 12.4, reported in kJ/mol of atoms.

***

Arrangement w

# PBE SrAcTlAg, optimized geometry
# - N(E_F): 0.563 states/eV per atom
# - Spin magnetization: 0.000 Bohr magnetons per cell
data_SrAcTlAg
_chemical_formula_sum 'Sr1 Ac1 Tl1 Ag1'
_cell_length_a 3.9784
_cell_length_b 3.9784
_cell_length_c 8.2961
_cell_angle_alpha 90.00
_cell_angle_beta 90.00
_cell_angle_gamma 90.00
_symmetry_space_group_name_H-M 'P 4 m m'
_symmetry_Int_Tables_number 99
loop_
_symmetry_equiv_pos_as_xyz
'x,y,z'
'-y,x,z'
'-x,-y,z'
'y,-x,z'
'-x,y,z'
'y,x,z'
'x,-y,z'
'-y,-x,z'
loop_
_atom_site_label
_atom_site_type_symbol
_atom_site_fract_x
_atom_site_fract_y
_atom_site_fract_z
Sr1 Sr 0.0000 0.0000 0.0000
Ac1 Ac 0.0000 0.0000 0.4770
Tl1 Tl 0.5000 0.5000 0.7393
Ag1 Ag 0.5000 0.5000 0.2430

***

Arrangement x

# PBE SrAcTlAg, optimized geometry
# - N(E_F): 1.070 states/eV per atom
# - Spin magnetization: 0.000 Bohr magnetons per cell
data_SrAcTlAg
_chemical_formula_sum 'Sr4 Ac4 Tl4 Ag4'
_cell_length_a 8.0580
_cell_length_b 8.0580
_cell_length_c 8.0580
_cell_angle_alpha 90.00
_cell_angle_beta 90.00
_cell_angle_gamma 90.00
_symmetry_space_group_name_H-M 'F -4 3 m'
_symmetry_Int_Tables_number 216
_symmetry_space_group_name_Hall 'F -4 2 3'
loop_
_atom_site_label
_atom_site_type_symbol
_atom_site_fract_x
_atom_site_fract_y
_atom_site_fract_z
Sr1 Sr 0.0000 0.0000 0.0000
Ac1 Ac 0.0000 0.0000 0.5000
Tl1 Tl 0.2500 0.2500 0.7500
Ag1 Ag 0.2500 0.2500 0.2500

***

Energies relative to the most stable structure are arrangement w 0.0; arrangement x 0.9, reported in kJ/mol of atoms.

***

Arrangement w

# PBE Ac2TbAg, optimized geometry
# - N(E_F): 1.432 states/eV per atom
# - Spin magnetization: 0.000 Bohr magnetons per cell
data_Ac2TbAg
_chemical_formula_sum 'Ac2 Tb1 Ag1'
_cell_length_a 3.9360
_cell_length_b 3.9360
_cell_length_c 9.0650
_cell_angle_alpha 90.00
_cell_angle_beta 90.00
_cell_angle_gamma 90.00
_symmetry_space_group_name_H-M 'P 4/m m m'
_symmetry_Int_Tables_number 123
_symmetry_space_group_name_Hall '-P 4 2'
loop_
_atom_site_label
_atom_site_type_symbol
_atom_site_fract_x
_atom_site_fract_y
_atom_site_fract_z
Ac1 Ac 0.0000 0.0000 0.2195
Tb1 Tb 0.5000 0.5000 0.5000
Ag1 Ag 0.5000 0.5000 0.0000

***

Arrangement x

# PBE Ac2TbAg, optimized geometry
# - N(E_F): 0.850 states/eV per atom
# - Spin magnetization: 0.000 Bohr magnetons per cell
data_Ac2TbAg
_chemical_formula_sum 'Ac8 Tb4 Ag4'
_cell_length_a 8.1900
_cell_length_b 8.1900
_cell_length_c 8.1900
_cell_angle_alpha 90.00
_cell_angle_beta 90.00
_cell_angle_gamma 90.00
_symmetry_space_group_name_H-M 'F m -3 m'
_symmetry_Int_Tables_number 225
_symmetry_space_group_name_Hall '-F 4 2 3'
loop_
_atom_site_label
_atom_site_type_symbol
_atom_site_fract_x
_atom_site_fract_y
_atom_site_fract_z
Ac1 Ac 0.2500 0.2500 0.2500
Tb1 Tb 0.0000 0.0000 0.0000
Ag1 Ag 0.0000 0.0000 0.5000

***

Energies relative to the most stable structure are arrangement w 0.0; arrangement x 15.3, reported in kJ/mol of atoms.

***

Arrangement w

# PBE AcTbAg, optimized geometry
# - N(E_F): 1.201 states/eV per atom
# - Spin magnetization: 0.000 Bohr magnetons per cell
data_AcTbAg
_chemical_formula_sum 'Ac1 Tb1 Ag1'
_cell_length_a 5.2015
_cell_length_b 5.2015
_cell_length_c 4.0943
_cell_angle_alpha 90.00
_cell_angle_beta 90.00
_cell_angle_gamma 120.00
_symmetry_space_group_name_H-M 'P 3 m 1'
_symmetry_Int_Tables_number 156
loop_
_symmetry_equiv_pos_as_xyz
'x,y,z'
'-y,x-y,z'
'-x+y,-x,z'
'-y,-x,z'
'-x+y,y,z'
'x,x-y,z'
loop_
_atom_site_label
_atom_site_type_symbol
_atom_site_fract_x
_atom_site_fract_y
_atom_site_fract_z
Ac1 Ac 0.0000 0.0000 0.0000
Tb1 Tb 0.6667 0.3333 0.4995
Ag1 Ag 0.3333 0.6667 0.5031

***

Arrangement x

# PBE AcTbAg, optimized geometry
# - N(E_F): 1.070 states/eV per atom
# - Spin magnetization: 0.000 Bohr magnetons per cell
data_AcTbAg
_chemical_formula_sum 'Ac2 Tb2 Ag2'
_cell_length_a 5.0042
_cell_length_b 5.0042
_cell_length_c 7.7656
_cell_angle_alpha 90.00
_cell_angle_beta 90.00
_cell_angle_gamma 90.00
_symmetry_space_group_name_H-M 'P 4/n m m'
_symmetry_Int_Tables_number 129
loop_
_symmetry_equiv_pos_as_xyz
'x,y,z'
'-x,-y,-z'
'-y+1/2,x,z'
'y+1/2,-x,-z'
'-x+1/2,-y+1/2,z'
'x+1/2,y+1/2,-z'
'y,-x+1/2,z'
'-y,x+1/2,-z'
'x+1/2,-y,-z'
'-x+1/2,y,z'
'-y,-x,-z'
'y,x,z'
'-x,y+1/2,-z'
'x,-y+1/2,z'
'y+1/2,x+1/2,-z'
'-y+1/2,-x+1/2,z'
loop_
_atom_site_label
_atom_site_type_symbol
_atom_site_fract_x
_atom_site_fract_y
_atom_site_fract_z
Ac1 Ac 0.2500 0.2500 0.1262
Tb1 Tb 0.2500 0.7500 0.5000
Ag1 Ag 0.2500 0.2500 0.7227

***

Arrangement y

# PBE AcTbAg, optimized geometry
# - N(E_F): 1.276 states/eV per atom
# - Spin magnetization: 0.112 Bohr magnetons per cell
data_AcTbAg
_chemical_formula_sum 'Ac2 Tb2 Ag2'
_cell_length_a 3.8112
_cell_length_b 3.8112
_cell_length_c 12.9995
_cell_angle_alpha 90.00
_cell_angle_beta 90.00
_cell_angle_gamma 90.00
_symmetry_space_group_name_H-M 'I 4 m m'
_symmetry_Int_Tables_number 107
_symmetry_space_group_name_Hall 'I 4 -2'
loop_
_atom_site_label
_atom_site_type_symbol
_atom_site_fract_x
_atom_site_fract_y
_atom_site_fract_z
Ac1 Ac 0.0000 0.0000 0.0000
Tb1 Tb 0.0000 0.0000 0.2910
Ag1 Ag 0.0000 0.0000 0.6720

***

Energies relative to the most stable structure are arrangement w 13.2; arrangement x 0.0; arrangement y 1.5, reported in kJ/mol of atoms.